Record 1
DFT (GGA-PBE) results for DyInNO after structural relaxation. Values from VASP.

Output
Space group: P4/nmm (129)
ΔE to the lowest computed polymorph in kJ per mole of atoms: 32.19

Structure (Quantum ESPRESSO input):
```
&SYSTEM
  ibrav = 0, nat = 8, ntyp = 4
/
ATOMIC_SPECIES
Dy 162.50 Dy.upf
In 114.82 In.upf
N 14.01 N.upf
O 16.00 O.upf
CELL_PARAMETERS angstrom
4.0264 0.0000 0.0000
0.0000 4.0264 0.0000
0.0000 0.0000 7.8890
ATOMIC_POSITIONS angstrom
Dy 1.0066 1.0066 1.0028
Dy 3.0198 3.0198 6.8862
In 1.0066 3.0198 3.9445
In 3.0198 1.0066 3.9445
N 1.0066 1.0066 5.1934
N 3.0198 3.0198 2.6956
O 1.0066 3.0198 0.0000
O 3.0198 1.0066 0.0000
```

---

Record 2
DFT (GGA-PBE) results for DyInNO after structural relaxation. Values from VASP.

Output
Space group: Pmc2_1 (26)
ΔE to the lowest computed polymorph in kJ per mole of atoms: 17.96

Structure (Quantum ESPRESSO input):
```
&SYSTEM
  ibrav = 0, nat = 8, ntyp = 4
/
ATOMIC_SPECIES
Dy 162.50 Dy.upf
In 114.82 In.upf
N 14.01 N.upf
O 16.00 O.upf
CELL_PARAMETERS angstrom
3.8059 0.0000 0.0000
0.0000 6.2964 0.0000
0.0000 0.0000 5.9504
ATOMIC_POSITIONS angstrom
Dy 0.0000 1.1405 0.0000
Dy 0.0000 5.1559 2.9752
In 1.9030 2.0266 3.0695
In 1.9030 4.2698 0.0943
N 1.9030 2.1978 5.3391
N 1.9030 4.0986 2.3638
O 0.0000 0.9257 2.1984
O 0.0000 5.3707 5.1736
```

---

Record 3
DFT (GGA-PBE) results for DyInNO after structural relaxation. Values from VASP.

Output
Space group: Pca2_1 (29)
ΔE to the lowest computed polymorph in kJ per mole of atoms: 0.00

Structure (Quantum ESPRESSO input):
```
&SYSTEM
  ibrav = 0, nat = 16, ntyp = 4
/
ATOMIC_SPECIES
Dy 162.50 Dy.upf
In 114.82 In.upf
N 14.01 N.upf
O 16.00 O.upf
CELL_PARAMETERS angstrom
5.8093 0.0000 0.0000
0.0000 8.2932 0.0000
0.0000 0.0000 5.7542
ATOMIC_POSITIONS angstrom
Dy 0.0174 0.9744 0.0000
Dy 2.8873 0.9744 2.8771
Dy 2.9220 7.3188 0.0000
Dy 5.7919 7.3188 2.8771
In 0.3226 5.0479 5.5198
In 2.5820 5.0479 2.6427
In 3.2273 3.2452 5.5198
In 5.4867 3.2452 2.6427
N 0.4699 5.1519 3.3067
N 2.4347 5.1519 0.4296
N 3.3746 3.1413 3.3067
N 5.3394 3.1413 0.4296
O 1.4435 8.2809 1.4288
O 1.4611 8.2809 4.3059
O 4.3482 0.0122 1.4288
O 4.3658 0.0122 4.3059
```

---

Record 4
DFT (GGA-PBE) results for NaDyIn4Pd2 after structural relaxation. Values from VASP.

Output
Space group: Amm2 (38)

Structure (Quantum ESPRESSO input):
```
&SYSTEM
  ibrav = 0, nat = 8, ntyp = 4
/
ATOMIC_SPECIES
Na 22.99 Na.upf
Dy 162.50 Dy.upf
In 114.82 In.upf
Pd 106.42 Pd.upf
CELL_PARAMETERS angstrom
7.8806 0.0000 0.0000
0.0000 2.2275 5.1441
0.0000 -2.2275 5.1441
ATOMIC_POSITIONS angstrom
Na 0.0000 0.0000 0.0000
Dy 3.9403 0.0000 1.3687
In 1.5342 0.0000 7.2985
In 2.3531 0.0000 4.3677
In 5.5275 0.0000 4.3677
In 6.3463 0.0000 7.2985
Pd 0.0000 0.0000 2.8928
Pd 3.9403 0.0000 8.7216
```

---

Number 1: density 7.98 g/cm3, energy -6.30 eV/atom. Number 2: density 7.16 g/cm3, energy -6.45 eV/atom. Number 3: density 7.36 g/cm3, energy -6.64 eV/atom. Number 4: density 7.89 g/cm3, energy -3.89 eV/atom.